VPd3O6 | PBE with a Hubbard U | relaxed

a b c (Å): 6.264 6.264 6.264
angles (deg): 90.69 90.69 90.69
Atoms (fractional coordinates):
O: 0.301 0.004 0.993
O: 0.007 0.699 0.996
O: 0.699 0.996 0.007
O: 0.595 0.806 0.454
O: 0.194 0.546 0.405
O: 0.996 0.007 0.699
O: 0.454 0.595 0.806
O: 0.405 0.194 0.546
O: 0.806 0.454 0.595
O: 0.004 0.993 0.301
O: 0.993 0.301 0.004
O: 0.546 0.405 0.194
V: 0.500 0.500 0.500
V: 0.000 0.000 0.000
Pd: 0.918 0.732 0.457
Pd: 0.082 0.268 0.543
Pd: 0.457 0.918 0.732
Pd: 0.268 0.543 0.082
Pd: 0.543 0.082 0.268
Pd: 0.732 0.457 0.918

Output
Calculated total energy: -5.940 eV per atom
Symmetry: R-3
Magnetization: 0.25 μB/f.u.